Material: Mg2Cu2Pb
Method: DFT, PBE
State: relaxed

```
Mg2Cu2Pb
1.0
4.1761 0.0000 0.0000
0.0000 4.1761 0.0000
2.0880 2.0880 5.7519
Pb Mg Cu
1 2 2
Direct
0.0000 0.0000 0.0000 Pb
0.7500 0.2500 0.5000 Mg
0.2500 0.7500 0.5000 Mg
0.3959 0.3959 0.2081 Cu
0.6041 0.6041 0.7919 Cu
```

**D(E_F)**: 0.414 states/eV/atom
**Magnetic moment**: 0.00 μB per formula unit
**Energy relative to the elements**: 0.56 eV/f.u.

Material: TcHPdRu2
Method: DFT, PBE
State: relaxed

```
TcHPdRu2
1.0
3.9197 0.0000 0.0000
0.0000 3.9197 0.0000
0.0000 0.0000 3.8825
Ru Tc Pd H
2 1 1 1
Direct
0.0000 0.5000 0.0000 Ru
0.5000 0.0000 0.0000 Ru
0.0000 0.0000 0.5000 Tc
0.5000 0.5000 0.5000 Pd
0.0000 0.0000 0.0000 H
```

**D(E_F)**: 1.125 states/eV/atom
**Magnetic moment**: 0.00 μB per formula unit
**Calculated total energy**: -7.3216 eV/atom

Material: TbY2Ho6Er3
Method: DFT, PBE
State: relaxed

```
TbY2Ho6Er3
1.0
-3.1221 -3.8734 3.5499
5.9997 -0.7996 -0.8465
1.2232 8.1910 8.2649
Tb Y Ho Er
1 2 6 3
Direct
0.0000 0.0000 0.0000 Tb
0.3333 0.6667 0.0000 Y
0.6667 0.3333 0.0000 Y
0.9159 0.5832 0.7481 Ho
0.7513 0.7513 0.2519 Ho
0.0841 0.4168 0.2519 Ho
0.5832 0.9159 0.7481 Ho
0.2487 0.2487 0.7481 Ho
0.4168 0.0841 0.2519 Ho
0.1668 0.8332 0.5000 Er
0.8332 0.1668 0.5000 Er
0.5000 0.5000 0.5000 Er
```

**D(E_F)**: 1.393 states/eV/atom
**Magnetic moment**: 0.00 μB per formula unit
**Energy relative to the elements**: 0.26 eV/f.u.

Material: Sn3PbCl
Method: DFT, PBE
State: relaxed

```
Sn3PbCl
1.0
-0.0230 -5.1601 1.7789
3.1705 -1.4607 -4.1959
4.4428 1.0156 3.0035
Pb Sn Cl
1 3 1
Direct
0.5000 0.5000 0.5000 Pb
0.0000 0.5000 0.0000 Sn
0.0000 0.0000 0.5000 Sn
0.5000 0.0000 0.0000 Sn
0.0000 0.0000 0.0000 Cl
```

**Energy above the most stable polymorph in this dataset**: 0 meV/atom
**D(E_F)**: 1.096 states/eV/atom
**ΔE_f (raw)**: 280 meV/atom
**Magnetic moment**: 0.00 μB per formula unit